The following is a PBE-GGA calculation of an optimized crystal structure of SrCr2Hg, from Alexandria via LeMat-Bulk.

Results
As for the space group: I4_1/amd. For the energy relative to the lowest polymorph listed for this composition, the calculation gives 206 kJ/mol of formula units. The energy of formation from the pure elements comes out at 80 kJ per mole of atoms. Its magnetic moment is 10.81 μB per cell. The calculation puts the calculated density at 6.13 g/cm³. For the total energy, the calculation gives -4.48 eV per atom.

```
8
Lattice="-2.3199 2.3199 9.8745 2.3199 -2.3199 9.8745 2.3199 2.3199 -9.8745" Properties=species:S:1:pos:R:3 pbc="T T T"
Sr 2.3199 1.1600 2.4686
Sr 0.0000 1.1600 7.4059
Cr 0.0000 0.0000 0.0000
Cr 1.1600 1.1600 -4.9373
Cr 1.1600 -1.1600 4.9373
Cr 0.0000 2.3199 0.0000
Hg 2.3199 -1.1600 7.4059
Hg 0.0000 3.4799 2.4686
```

=====

The following is a PBE-GGA calculation of an optimized crystal structure of Ni4SeCl, from Alexandria via LeMat-Bulk.

Results
As for the space group: F-43m. Its magnetic moment is 0.00 μB per cell. The calculation puts the uncorrected formation energy at 0.543 eV/atom. The calculation puts the calculated density at 7.00 g/cm³. For the total energy, the calculation gives -4.20 eV per atom.

```
6
Lattice="0.0000 3.4595 3.4595 3.4595 0.0000 3.4595 3.4595 3.4595 0.0000" Properties=species:S:1:pos:R:3 pbc="T T T"
Ni 0.8563 0.8563 0.8563
Ni 2.6032 2.6032 0.8563
Ni 2.6032 0.8563 2.6032
Ni 0.8563 2.6032 2.6032
Se 5.1893 5.1893 5.1893
Cl 3.4595 3.4595 3.4595
```

=====

The following is a PBE-GGA calculation of an optimized crystal structure of Zr2WS, from Alexandria via LeMat-Bulk.

Results
As for the space group: R-3m. Its magnetic moment is 0.00 μB per cell. The calculation puts the uncorrected formation energy at -0.005 eV/atom. The calculation puts the calculated density at 8.50 g/cm³. For the total energy, the calculation gives -8.55 eV per atom.

```
4
Lattice="1.5517 0.8959 9.3303 -1.5517 0.8959 9.3303 0.0000 -1.7917 9.3303" Properties=species:S:1:pos:R:3 pbc="T T T"
Zr 0.0000 0.0000 2.7492
Zr 0.0000 0.0000 25.2416
W 0.0000 0.0000 0.0000
S 0.0000 0.0000 13.9954
```

=====

The following is a PBE-GGA calculation of an optimized crystal structure of ZrBiCl2, from Alexandria via LeMat-Bulk.

Results
As for the space group: P1. For the energy relative to the lowest polymorph listed for this composition, the calculation gives 31 kJ/mol of formula units. Its magnetic moment is 0.00 μB per cell. The calculation puts the uncorrected formation energy at -1.124 eV/atom. The calculation puts the calculated density at 4.83 g/cm³. For the total energy, the calculation gives -5.15 eV per atom.

```
8
Lattice="3.3184 0.0000 0.0000 -1.6512 8.0262 0.0000 -1.5311 -2.2814 9.5857" Properties=species:S:1:pos:R:3 pbc="T T T"
Zr 0.0000 0.0000 0.0000
Zr -1.6592 6.7346 3.6834
Bi 1.6524 1.3382 2.3844
Bi 1.6434 0.8032 5.3344
Cl -1.5245 4.4219 8.1349
Cl 0.1309 -0.4415 8.6668
Cl 0.0004 4.9008 4.3603
Cl 1.6641 5.8148 1.3322
```

=====

The following is a PBE-GGA calculation of an optimized crystal structure of PmSmZnHg, from Alexandria via LeMat-Bulk.

Results
As for the space group: F-43m. For the energy relative to the lowest polymorph listed for this composition, the calculation gives 10 kJ/mol of formula units. The energy of formation from the pure elements comes out at -36 kJ per mole of atoms. Its magnetic moment is 0.89 μB per cell. The calculation puts the calculated density at 8.93 g/cm³. For the total energy, the calculation gives -3.14 eV per atom.

```
4
Lattice="0.0000 3.7374 3.7374 3.7374 0.0000 3.7374 3.7374 3.7374 0.0000" Properties=species:S:1:pos:R:3 pbc="T T T"
Pm 0.0000 0.0000 0.0000
Sm 3.7374 3.7374 3.7374
Zn 5.6061 5.6061 5.6061
Hg 1.8687 1.8687 1.8687
```

=====

The following is a PBE-GGA calculation of an optimized crystal structure of AcPmPI, from Alexandria via LeMat-Bulk.

Results
As for the space group: R3m. Its magnetic moment is 0.00 μB per cell. The calculation puts the uncorrected formation energy at -1.336 eV/atom. The calculation puts the calculated density at 6.95 g/cm³. For the total energy, the calculation gives -5.29 eV per atom.

```
4
Lattice="2.1247 1.2267 8.0943 -2.1247 1.2267 8.0943 0.0000 -2.4534 8.0943" Properties=species:S:1:pos:R:3 pbc="T T T"
Ac 0.0000 0.0000 0.0000
Pm 0.0000 0.0000 19.3535
P 0.0000 0.0000 9.8568
I 0.0000 0.0000 5.4732
```